# PBE-GGA NdIrPt, relaxed
# symmetry = R3m (160)
# offset from the most stable computed form = 16.852 kcal/mol of atoms
# formation energy from the elements = -0.12 eV per atom
# E_tot = -6.6777 eV/atom
data_NdIrPt
_chemical_formula_sum 'Nd1 Ir1 Pt1'
_cell_length_a 4.149
_cell_length_b 4.149
_cell_length_c 5.566
_cell_angle_alpha 68.12
_cell_angle_beta 68.12
_cell_angle_gamma 60.00
_space_group_name_H-M_alt 'P 1'
_space_group_IT_number 1
loop_
_space_group_symop_operation_xyz
'x,y,z'
loop_
_atom_site_label
_atom_site_fract_x
_atom_site_fract_y
_atom_site_fract_z
Pt1 0.135 0.135 0.594
Nd1 0.328 0.328 0.015
Ir1 0.522 0.522 0.435